An optimized crystal structure of LaPmHo2Th, computed with PBE.

The structure in extended XYZ format:
```
5
Lattice="3.538 0.000 0.000 0.000 5.700 0.000 0.000 0.000 8.761" Properties=species:S:1:pos:R:3 pbc="T T T"
La 0.000 0.000 0.000
Pm 1.769 0.000 4.380
Ho 0.000 2.850 2.805
Ho 0.000 2.850 5.956
Th 1.769 2.850 0.000
```

## Properties
Total magnetic moment in Bohr magnetons per cell: 0.00
Formation energy from the elements in eV/atom: 0.268
Calculated density in kg/m3: 7951

=====

An optimized crystal structure of Ba3HoC2N6, computed with PBE.

The structure in extended XYZ format:
```
12
Lattice="5.765 0.000 0.000 -2.882 4.993 0.000 0.000 0.000 7.000" Properties=species:S:1:pos:R:3 pbc="T T T"
Ba 0.000 0.000 0.000
Ba 0.000 3.328 4.791
Ba 2.882 1.664 2.209
Ho 0.000 0.000 3.500
C 0.000 3.328 2.016
C 2.882 1.664 4.984
N 0.000 1.950 2.077
N -1.194 4.018 2.077
N 1.689 0.975 4.923
N 1.194 4.018 2.077
N 4.076 0.975 4.923
N 2.882 3.043 4.923
```

## Properties
Energy relative to the elements, uncorrected in eV/atom: -0.6607
Total magnetic moment in Bohr magnetons per cell: 0.00
Calculated density in kg/m3: 5646

=====

An optimized crystal structure of TbAlSiPt3, computed with PBE.

The structure in extended XYZ format:
```
12
Lattice="3.436 -5.914 0.000 3.436 5.914 0.000 0.000 0.000 5.542" Properties=species:S:1:pos:R:3 pbc="T T T"
Tb 3.436 3.505 4.157
Tb 3.436 -3.505 1.386
Al 3.436 0.454 4.157
Al 3.436 -0.454 1.386
Si 3.436 4.448 1.386
Si 3.436 -4.448 4.157
Pt 1.417 0.000 0.000
Pt 1.417 0.000 2.771
Pt 3.436 2.133 1.386
Pt 3.436 -2.133 4.157
Pt 5.455 0.000 0.000
Pt 5.455 0.000 2.771
```

## Properties
Energy relative to the elements, uncorrected in eV/atom: -0.8738
Total magnetic moment in Bohr magnetons per cell: 0.00
Calculated density in kg/m3: 11785

=====

An optimized crystal structure of RbNbCd2Ag, computed with PBE.

The structure in extended XYZ format:
```
5
Lattice="6.073 0.000 0.000 0.000 6.073 0.000 0.000 0.000 5.805" Properties=species:S:1:pos:R:3 pbc="T T T"
Rb 0.000 0.000 0.000
Nb 3.036 3.036 2.902
Cd 0.000 3.036 0.000
Cd 3.036 0.000 0.000
Ag 0.000 0.000 2.902
```

## Properties
Total magnetic moment in Bohr magnetons per cell: 4.50
Formation energy from the elements in eV/atom: 1.712
Calculated density in kg/m3: 3964

=====

An optimized crystal structure of VSi2H, computed with PBE.

The structure in extended XYZ format:
```
4
Lattice="0.000 2.887 2.887 2.887 0.000 2.887 2.887 2.887 0.000" Properties=species:S:1:pos:R:3 pbc="T T T"
V 0.000 0.000 0.000
Si 1.444 1.444 1.444
Si 4.331 4.331 4.331
H 2.887 2.887 2.887
```

## Properties
Final energy in eV per cell: -20.65
Total magnetic moment in Bohr magnetons per cell: 0.61
Calculated density in kg/m3: 3731

=====

An optimized crystal structure of Cs2DyAg2Se4, computed with PBE.

The structure in extended XYZ format:
```
9
Lattice="7.928 -2.119 0.000 7.928 2.119 0.000 -2.622 0.000 8.201" Properties=species:S:1:pos:R:3 pbc="T T T"
Cs 1.929 0.000 0.517
Cs 11.306 0.000 7.684
Dy -1.311 0.000 4.101
Ag 3.722 0.000 4.257
Ag 9.512 0.000 3.944
Se 1.265 0.000 5.550
Se 5.818 0.000 5.923
Se 7.416 0.000 2.278
Se 11.970 0.000 2.652
```

## Properties
Energy relative to the elements, uncorrected in eV/atom: -1.0180
Total magnetic moment in Bohr magnetons per cell: 0.00
Calculated density in kg/m3: 5783

=====

An optimized crystal structure of CdPbS2Br, computed with PBE.

The structure in extended XYZ format:
```
5
Lattice="5.195 0.000 0.000 0.000 5.195 0.000 0.000 0.000 5.695" Properties=species:S:1:pos:R:3 pbc="T T T"
Cd 0.000 0.000 0.000
Pb 2.597 2.597 2.848
S 0.000 2.597 2.848
S 2.597 0.000 2.848
Br 2.597 2.597 0.000
```

## Properties
Energy relative to the elements, uncorrected in eV/atom: 0.2299
Total magnetic moment in Bohr magnetons per cell: 0.14
Calculated density in kg/m3: 5009

=====

An optimized crystal structure of CaGa2GeW, computed with PBE.

The structure in extended XYZ format:
```
5
Lattice="4.943 0.000 0.000 0.000 4.943 0.000 0.000 0.000 4.884" Properties=species:S:1:pos:R:3 pbc="T T T"
Ca 0.000 0.000 0.000
Ga 0.000 2.472 2.442
Ga 2.472 0.000 2.442
Ge 2.472 2.472 2.442
W 2.472 2.472 0.000
```

## Properties
Total magnetic moment in Bohr magnetons per cell: 1.70
Formation energy from the elements in eV/atom: 0.749
Calculated density in kg/m3: 6066

=====

An optimized crystal structure of TbDyGaPt, computed with PBE.

The structure in extended XYZ format:
```
4
Lattice="0.000 3.547 3.547 3.547 0.000 3.547 3.547 3.547 0.000" Properties=species:S:1:pos:R:3 pbc="T T T"
Tb 0.000 0.000 0.000
Dy 3.547 3.547 3.547
Ga 5.321 5.321 5.321
Pt 1.774 1.774 1.774
```

## Properties
Total magnetic moment in Bohr magnetons per cell: 0.00
Formation energy from the elements in eV/atom: -0.860
Calculated density in kg/m3: 10903

=====

An optimized crystal structure of TlPbAu, computed with PBE.

The structure in extended XYZ format:
```
6
Lattice="5.834 0.000 0.000 0.000 3.827 0.000 -2.719 0.000 7.494" Properties=species:S:1:pos:R:3 pbc="T T T"
Tl 0.000 0.000 0.000
Tl 1.468 1.913 2.714
Pb 0.263 1.913 6.110
Pb 4.546 0.000 3.419
Au 2.955 0.000 0.913
Au 3.123 1.913 5.202
```

## Properties
Total magnetic moment in Bohr magnetons per cell: 0.00
Formation energy from the elements in eV/atom: -0.035
Calculated density in kg/m3: 12081

=====

An optimized crystal structure of Li5Cd5Sn2, computed with PBE.

The structure in extended XYZ format:
```
12
Lattice="4.925 0.000 0.000 1.983 7.061 0.000 1.250 2.815 6.971" Properties=species:S:1:pos:R:3 pbc="T T T"
Li 0.000 0.000 0.000
Li 1.740 3.364 4.064
Li 3.798 7.337 5.307
Li 4.360 2.539 1.663
Li 6.418 6.512 2.907
Cd 3.899 8.056 2.534
Cd 3.762 4.203 6.463
Cd 4.079 4.938 3.485
Cd 4.396 5.673 0.507
Cd 4.259 1.820 4.436
Sn 1.894 4.102 1.275
Sn 6.264 5.774 5.696
```

## Properties
Total magnetic moment in Bohr magnetons per cell: 0.00
Formation energy from the elements in eV/atom: -0.216
Calculated density in kg/m3: 5715

=====

An optimized crystal structure of MgPW2, computed with PBE.

The structure in extended XYZ format:
```
4
Lattice="1.635 -2.310 0.000 1.635 2.310 0.000 0.000 0.000 8.642" Properties=species:S:1:pos:R:3 pbc="T T T"
Mg 0.000 0.000 0.000
P 1.635 0.000 6.350
W 0.000 0.000 4.483
W 1.635 0.000 2.308
```

## Properties
Total magnetic moment in Bohr magnetons per cell: 0.00
Formation energy from the elements in eV/atom: 0.221
Calculated density in kg/m3: 10758

=====

An optimized crystal structure of Zn2FeCu, computed with PBE.

The structure in extended XYZ format:
```
4
Lattice="2.594 0.000 0.000 0.000 2.594 0.000 0.000 0.000 7.614" Properties=species:S:1:pos:R:3 pbc="T T T"
Zn 0.000 0.000 1.885
Zn 0.000 0.000 5.728
Fe 1.297 1.297 0.000
Cu 1.297 1.297 3.807
```

## Properties
Total magnetic moment in Bohr magnetons per cell: 2.09
Formation energy from the elements in eV/atom: -0.035
Calculated density in kg/m3: 8113

=====

An optimized crystal structure of Cs2MnHgI6, computed with PBE.

The structure in extended XYZ format:
```
20
Lattice="8.011 0.000 0.000 0.000 8.954 0.000 -7.831 0.000 12.594" Properties=species:S:1:pos:R:3 pbc="T T T"
Cs -0.182 0.746 3.040
Cs -4.097 3.732 9.337
Cs 4.277 5.223 3.257
Cs 0.362 8.209 9.554
Mn 4.005 0.000 0.000
Mn 0.090 4.477 6.297
Hg -3.916 0.000 6.297
Hg 0.000 4.477 0.000
I -6.035 1.652 12.243
I -2.120 2.826 5.946
I -5.550 5.988 12.317
I -1.634 7.443 6.020
I 0.383 4.671 3.500
I -3.533 8.760 9.797
I 3.713 0.194 2.797
I -0.203 4.283 9.094
I 1.814 1.511 6.574
I 5.730 2.966 0.277
I 2.299 6.129 6.648
I 6.215 7.303 0.351
```

## Properties
Energy relative to the elements, uncorrected in eV/atom: -0.8110
Total magnetic moment in Bohr magnetons per cell: 10.00
Calculated density in kg/m3: 4716

=====

An optimized crystal structure of Li2SnO, computed with PBE.

The structure in extended XYZ format:
```
4
Lattice="0.000 3.130 3.130 3.130 0.000 3.130 3.130 3.130 0.000" Properties=species:S:1:pos:R:3 pbc="T T T"
Li 1.565 1.565 1.565
Li 4.695 4.695 4.695
Sn 0.000 0.000 0.000
O 3.130 3.130 3.130
```

## Properties
Energy relative to the elements, uncorrected in eV/atom: -0.2005
Total magnetic moment in Bohr magnetons per cell: 0.00
Calculated density in kg/m3: 4022

=====

An optimized crystal structure of KMnNbN3, computed with PBE.

The structure in extended XYZ format:
```
12
Lattice="7.498 0.000 0.000 0.000 3.250 0.000 -2.870 0.000 7.713" Properties=species:S:1:pos:R:3 pbc="T T T"
K 0.961 0.813 1.754
K 3.668 2.438 5.959
Mn -1.136 0.813 4.674
Mn 5.765 2.438 3.039
Nb 0.003 2.438 6.758
Nb 4.626 0.813 0.955
N -1.314 0.813 6.536
N -0.323 2.438 4.313
N 3.090 2.438 0.985
N 1.539 0.813 6.728
N 4.952 0.813 3.400
N 5.943 2.438 1.178
```

## Properties
Energy relative to the elements, uncorrected in eV/atom: -0.4928
Total magnetic moment in Bohr magnetons per cell: 3.23
Calculated density in kg/m3: 4045

=====

An optimized crystal structure of LiThB14, computed with PBE.

The structure in extended XYZ format:
```
32
Lattice="-2.940 5.277 4.175 2.940 -5.277 4.175 2.940 5.277 -4.175" Properties=species:S:1:pos:R:3 pbc="T T T"
Li -1.470 2.638 2.088
Li 1.470 2.638 2.088
Th 2.940 2.638 -1.123
Th 0.000 2.638 5.298
B 0.943 -0.601 1.328
B 4.937 -0.601 1.328
B 1.476 0.832 0.401
B 4.404 0.832 0.401
B 2.940 -3.524 3.917
B 0.000 0.943 1.415
B 2.940 1.559 1.118
B 0.943 4.676 -1.328
B 1.997 -0.601 2.847
B 2.940 -1.752 3.917
B 2.940 0.943 2.760
B 1.476 4.445 0.401
B 1.464 -0.832 4.576
B 2.940 3.718 1.118
B 0.000 1.559 3.057
B 1.476 6.109 -0.401
B 1.464 0.832 3.774
B 0.000 4.333 1.415
B 0.000 7.029 0.258
B 0.943 5.878 1.328
B 1.997 0.601 5.503
B 0.000 3.718 3.057
B 2.940 4.333 2.760
B 0.000 8.801 0.258
B -1.464 4.445 3.774
B 1.464 4.445 3.774
B -1.997 5.878 2.847
B 1.997 5.878 2.847
```

## Properties
Total magnetic moment in Bohr magnetons per cell: 0.00
Formation energy from the elements in eV/atom: -0.256
Calculated density in kg/m3: 5004

=====

An optimized crystal structure of ScFeNiIr, computed with PBE.

The structure in extended XYZ format:
```
4
Lattice="0.000 3.046 3.046 3.046 0.000 3.046 3.046 3.046 0.000" Properties=species:S:1:pos:R:3 pbc="T T T"
Sc 0.000 0.000 0.000
Fe 1.523 1.523 1.523
Ni 4.569 4.569 4.569
Ir 3.046 3.046 3.046
```

## Properties
Total magnetic moment in Bohr magnetons per cell: 3.02
Formation energy from the elements in eV/atom: -0.277
Calculated density in kg/m3: 10331

=====

An optimized crystal structure of CuTe4Br, computed with PBE.

The structure in extended XYZ format:
```
6
Lattice="0.000 4.458 4.458 4.458 0.000 4.458 4.458 4.458 0.000" Properties=species:S:1:pos:R:3 pbc="T T T"
Cu 0.000 0.000 0.000
Te 5.569 3.347 3.347
Te 3.347 5.569 3.347
Te 3.347 3.347 5.569
Te 5.569 5.569 5.569
Br 2.229 2.229 2.229
```

## Properties
Energy relative to the elements, uncorrected in eV/atom: 0.5339
Total magnetic moment in Bohr magnetons per cell: 0.00
Calculated density in kg/m3: 6127

=====

An optimized crystal structure of HoSi3TcRh, computed with PBE.

The structure in extended XYZ format:
```
12
Lattice="3.816 -5.570 0.000 3.816 5.570 0.000 0.000 0.000 5.449" Properties=species:S:1:pos:R:3 pbc="T T T"
Ho 3.816 2.843 4.086
Ho 3.816 -2.843 1.362
Si 3.816 2.826 1.362
Si 1.916 0.000 0.000
Si 1.916 0.000 2.724
Si 5.716 0.000 0.000
Si 5.716 0.000 2.724
Si 3.816 -2.826 4.086
Tc 3.816 0.606 1.362
Tc 3.816 -0.606 4.086
Rh 3.816 5.022 1.362
Rh 3.816 -5.022 4.086
```

## Properties
Energy relative to the elements, uncorrected in eV/atom: -0.4115
Total magnetic moment in Bohr magnetons per cell: 0.00
Calculated density in kg/m3: 6454

=====

An optimized crystal structure of AcCuSb2, computed with PBE.

The structure in extended XYZ format:
```
4
Lattice="2.702 1.560 7.267 -2.702 1.560 7.267 0.000 -3.120 7.267" Properties=species:S:1:pos:R:3 pbc="T T T"
Ac 0.000 0.000 0.000
Cu 0.000 0.000 10.900
Sb 0.000 0.000 8.450
Sb 0.000 0.000 13.351
```

## Properties
Energy relative to the elements, uncorrected in eV/atom: 0.0721
Total magnetic moment in Bohr magnetons per cell: 0.00
Calculated density in kg/m3: 4825

=====

An optimized crystal structure of TlGaCl4, computed with PBE.

The structure in extended XYZ format:
```
12
Lattice="6.448 0.000 0.000 0.000 10.027 0.000 -1.002 0.000 6.445" Properties=species:S:1:pos:R:3 pbc="T T T"
Tl 0.575 2.507 1.227
Tl 4.871 7.520 5.218
Ga 2.211 7.520 1.938
Ga 3.235 2.507 4.506
Cl 1.399 5.760 0.882
Cl 1.399 9.280 0.882
Cl 1.027 2.507 4.582
Cl 1.637 7.520 4.064
Cl 3.809 2.507 2.381
Cl 4.419 7.520 1.863
Cl 4.047 0.747 5.562
Cl 4.047 4.267 5.562
```

## Properties
Energy relative to the elements, uncorrected in eV/atom: -1.1616
Total magnetic moment in Bohr magnetons per cell: 0.00
Calculated density in kg/m3: 3315

=====

An optimized crystal structure of Ca2N2F3, computed with PBE.

The structure in extended XYZ format:
```
7
Lattice="3.695 0.000 0.000 0.007 5.143 0.000 1.838 1.552 6.029" Properties=species:S:1:pos:R:3 pbc="T T T"
Ca 0.923 0.762 1.402
Ca 4.617 5.934 4.628
N 0.921 2.767 2.917
N 4.620 3.928 3.112
F 2.769 5.658 5.919
F 2.767 0.776 3.015
F 2.772 1.037 0.110
```

## Properties
Energy relative to the elements, uncorrected in eV/atom: -2.4716
Total magnetic moment in Bohr magnetons per cell: 1.00
Calculated density in kg/m3: 2394